Density functional theory data (PBE) for a geometry-optimized NaSmPb structure.

Lattice parameters (Å, degrees): 5.2703 5.2703 3.6112 90.00 90.00 120.00
Last column: nearest neighbours and their distance in Å.
Fractional coordinates of all 3 atoms:
Na 0.0000 0.0000 0.0000  3 Pb 3.08
Sm 0.3333 0.6667 0.4562  6 Pb 3.39-3.71, 6 Na 3.46-3.62, 2 Sm 3.61
Pb 0.6667 0.3333 0.8681  3 Na 3.08, 3 Sm 3.39

Properties
Energy of formation ... -219 meV/atom
Size of the total moment ... 0.0 μB/f.u.
N(E_F) ... 1.0 states/eV per cell

---

Density functional theory data (PBE) for a geometry-optimized CdFe structure.

Lattice parameters (Å, degrees): 4.5623 4.5623 5.2550 90.00 90.00 120.00
Last column: nearest neighbours and their distance in Å.
Fractional coordinates of all 4 atoms:
Cd 0.3333 0.6667 0.2500  5 Fe 2.63
Cd 0.6667 0.3333 0.7500  5 Fe 2.63
Fe 0.3333 0.6667 0.7500  5 Cd 2.63
Fe 0.6667 0.3333 0.2500  5 Cd 2.63

Properties
Energy of formation ... 1150 meV/atom
Size of the total moment ... 2.8 μB/f.u.
N(E_F) ... 5.5 states/eV per cell

---

Density functional theory data (PBE) for a geometry-optimized Tm4Ag3Rh structure.

Lattice parameters (Å, degrees): 3.5141 3.5141 14.2987 90.00 90.00 90.00
Last column: nearest neighbours and their distance in Å.
Fractional coordinates of all 8 atoms:
Tm 0.0000 0.0000 0.1127  4 Rh 2.96, 4 Ag 3.12, 1 Tm 3.22
Tm 0.0000 0.0000 0.3706  8 Ag 3.07-3.10
Tm 0.0000 0.0000 0.6294  8 Ag 3.07-3.10
Tm 0.0000 0.0000 0.8873  4 Rh 2.96, 4 Ag 3.12, 1 Tm 3.22
Ag 0.5000 0.5000 0.2443  8 Tm 3.07-3.12
Ag 0.5000 0.5000 0.5000  8 Tm 3.10
Ag 0.5000 0.5000 0.7557  8 Tm 3.07-3.12
Rh 0.5000 0.5000 0.0000  8 Tm 2.96

Properties
Energy of formation ... -494 meV/atom
Size of the total moment ... 0.0 μB/f.u.
N(E_F) ... 5.5 states/eV per cell

---

Density functional theory data (PBE) for a geometry-optimized Mg2Cd2Cl structure.

Lattice parameters (Å, degrees): 7.2767 7.2767 4.5318 90.00 90.00 90.00
Last column: nearest neighbours and their distance in Å.
Fractional coordinates of all 10 atoms:
Mg 0.1585 0.3415 0.0000  2 Cl 2.74, 2 Cd 3.04
Mg 0.3415 0.8415 0.0000  2 Cl 2.74, 2 Cd 3.04
Mg 0.6585 0.1585 0.0000  2 Cl 2.74, 2 Cd 3.04
Mg 0.8415 0.6585 0.0000  2 Cl 2.74, 2 Cd 3.04
Cd 0.1448 0.6448 0.5000  1 Cd 2.98, 6 Mg 3.04-3.16
Cd 0.3552 0.1448 0.5000  1 Cd 2.98, 6 Mg 3.04-3.16
Cd 0.6448 0.8552 0.5000  1 Cd 2.98, 6 Mg 3.04-3.16
Cd 0.8552 0.3552 0.5000  1 Cd 2.98, 6 Mg 3.04-3.16
Cl 0.0000 0.0000 0.0000  4 Mg 2.74
Cl 0.5000 0.5000 0.0000  4 Mg 2.74

Properties
Size of the total moment ... 0.0 μB/f.u.
Uncorrected formation energy ... -1.43 eV per formula unit
N(E_F) ... 3.5 states/eV per cell

---

Density functional theory data (PBE) for a geometry-optimized Ni2Bi4Te structure.

Lattice parameters (Å, degrees): 5.9177 5.9177 18.2723 90.00 90.00 142.35
Last column: nearest neighbours and their distance in Å.
Fractional coordinates of all 14 atoms:
Ni 0.1750 0.8250 0.5185  2 Ni 2.63, 5 Bi 2.64-2.76
Ni 0.1750 0.8250 0.9815  2 Ni 2.63, 5 Bi 2.64-2.76
Ni 0.8250 0.1750 0.0185  2 Ni 2.63, 5 Bi 2.64-2.76
Ni 0.8250 0.1750 0.4815  2 Ni 2.63, 5 Bi 2.64-2.76
Bi 0.1036 0.8964 0.7500  3 Te 2.99-3.30
Bi 0.2606 0.7394 0.1160  3 Ni 2.64-2.71
Bi 0.2606 0.7394 0.3840  3 Ni 2.64-2.71
Bi 0.5000 0.5000 0.0000  4 Ni 2.76
Bi 0.5000 0.5000 0.5000  4 Ni 2.76
Bi 0.7394 0.2606 0.6160  3 Ni 2.64-2.71
Bi 0.7394 0.2606 0.8840  3 Ni 2.64-2.71
Bi 0.8964 0.1036 0.2500  3 Te 2.99-3.30
Te 0.3981 0.6019 0.7500  3 Bi 2.99-3.30
Te 0.6019 0.3981 0.2500  3 Bi 2.99-3.30

Properties
Size of the total moment ... 0.0 μB/f.u.
Uncorrected formation energy ... 1.14 eV per formula unit
N(E_F) ... 8.4 states/eV per cell

---

Density functional theory data (PBE) for a geometry-optimized PrPa3H4O12 structure.

Lattice parameters (Å, degrees): 6.4895 6.4895 6.4895 102.47 102.47 102.47
Last column: nearest neighbours and their distance in Å.
Fractional coordinates of all 20 atoms:
Pr 0.0000 0.0000 0.0000  6 O 2.53
Pa 0.0000 0.5402 0.4598  6 O 2.14-2.23
Pa 0.4598 0.0000 0.5402  6 O 2.14-2.23
Pa 0.5402 0.4598 0.0000  6 O 2.14-2.23
H 0.1029 0.5000 0.8971  2 O 1.25
H 0.5000 0.5000 0.5000  3 O 1.40
H 0.5000 0.8971 0.1029  2 O 1.25
H 0.8971 0.1029 0.5000  2 O 1.25
O 0.0319 0.6313 0.8058  1 H 1.25
O 0.1146 0.8854 0.5000  2 Pa 2.14, 1 H 2.20
O 0.1942 0.3687 0.9681  1 H 1.25
O 0.3614 0.6386 0.5000  1 H 1.40
O 0.3687 0.9681 0.1942  1 H 1.25
O 0.5000 0.1146 0.8854  2 Pa 2.14, 1 H 2.20
O 0.5000 0.3614 0.6386  1 H 1.40
O 0.6313 0.8058 0.0319  1 H 1.25
O 0.6386 0.5000 0.3614  1 H 1.40
O 0.8058 0.0319 0.6313  1 H 1.25
O 0.8854 0.5000 0.1146  2 Pa 2.14, 1 H 2.20
O 0.9681 0.1942 0.3687  1 H 1.25

Properties
Size of the total moment ... 1.6 μB/f.u.
N(E_F) ... 15.5 states/eV per cell
Energy ... -7.610 eV per atom

---

Density functional theory data (PBE) for a geometry-optimized Cs2GdAgCl6 structure.

Lattice parameters (Å, degrees): 7.7059 7.7059 7.7059 60.00 60.00 60.00
Last column: nearest neighbours and their distance in Å.
Fractional coordinates of all 10 atoms:
Cs 0.2500 0.2500 0.2500  12 Cl 3.85
Cs 0.7500 0.7500 0.7500  12 Cl 3.85
Gd 0.0000 0.0000 0.0000  6 Cl 2.67
Ag 0.5000 0.5000 0.5000  6 Cl 2.78
Cl 0.2453 0.2453 0.7547  1 Gd 2.67, 1 Ag 2.78
Cl 0.2453 0.7547 0.2453  1 Gd 2.67, 1 Ag 2.78
Cl 0.2453 0.7547 0.7547  1 Gd 2.67, 1 Ag 2.78
Cl 0.7547 0.2453 0.2453  1 Gd 2.67, 1 Ag 2.78
Cl 0.7547 0.2453 0.7547  1 Gd 2.67, 1 Ag 2.78
Cl 0.7547 0.7547 0.2453  1 Gd 2.67, 1 Ag 2.78

Properties
Size of the total moment ... 6.9 μB/f.u.
Uncorrected formation energy ... -18.51 eV per formula unit
N(E_F) ... 0.0 states/eV per cell